(1)
# Cs2Cu2Pd

A relaxed structure of Cs2Cu2Pd (GGA-PBE, the Alexandria database).

abc: 6.0811 6.0811 6.0811
angles: 111.70 111.70 105.10
Last column: nearest neighbours and their distance in Å.
Fractional positions:
Cs1 0.2500 0.7500 0.5000  4 Cu 3.48, 2 Cs 3.70, 4 Pd 3.88
Cs2 0.7500 0.2500 0.5000  4 Cu 3.48, 2 Cs 3.70, 4 Pd 3.88
Cu1 0.1603 0.1603 0.0000  1 Cu 2.37, 1 Pd 2.51
Cu2 0.8397 0.8397 0.0000  1 Cu 2.37, 1 Pd 2.51
Pd1 0.5000 0.5000 0.0000  2 Cu 2.51

Space-group type: I4/mmm, No. 139
Energy of formation (meV per atom): 372

(2)
# CdPtW2

A relaxed structure of CdPtW2 (GGA-PBE, the Alexandria database).

abc: 2.7598 2.7598 8.7594
angles: 90.00 90.00 90.00
Last column: nearest neighbours and their distance in Å.
Fractional positions:
Cd1 0.0000 0.0000 0.0000  4 Cd 2.76, 8 W 3.03
Pt1 0.0000 0.0000 0.5000  4 Pt 2.76, 8 W 2.84
W1 0.5000 0.5000 0.2643  4 W 2.76, 4 Pt 2.84, 4 Cd 3.03
W2 0.5000 0.5000 0.7357  4 W 2.76, 4 Pt 2.84, 4 Cd 3.03

Space-group type: P4/mmm, No. 123
Energy of formation (meV per atom): 259

For each record above, in turn, the calculated M_tot values are 0.000; 0.000 μB/atom.
For each record above, in turn, the calculated electronic total energy values are -13.2; -31.8 eV for the cell shown.
For each record above, in turn, the calculated V values are 172.36; 66.71 Å³/f.u..